First-principles (GGA-PBE) data for a geometry-optimized LiAl2Ni2 structure, as listed in Alexandria.

Values from the calculation:
Relative energy among the computed polymorphs   0 meV/atom

Lattice parameters (Å, degrees): 7.006 7.006 2.691 90.00 90.00 90.00
Atoms (fractional coordinates):
Al: 0.654 0.846 0.500
Al: 0.846 0.346 0.500
Al: 0.154 0.654 0.500
Al: 0.346 0.154 0.500
Li: 0.000 0.000 0.000
Li: 0.500 0.500 0.000
Ni: 0.142 0.358 0.000
Ni: 0.642 0.142 0.000
Ni: 0.358 0.858 0.000
Ni: 0.858 0.642 0.000

=====

First-principles (GGA-PBE) data for a geometry-optimized LiAl3Ni structure, as listed in Alexandria.

Values from the calculation:
Relative energy among the computed polymorphs   49 meV/atom

Lattice parameters (Å, degrees): 4.138 8.809 8.809 89.77 76.45 76.45
Atoms (fractional coordinates):
Ni: 0.750 0.252 0.748
Ni: 0.250 0.096 0.904
Ni: 0.750 0.904 0.096
Ni: 0.250 0.748 0.252
Al: 0.135 0.028 0.203
Al: 0.367 0.472 0.296
Al: 0.627 0.868 0.379
Al: 0.633 0.528 0.704
Al: 0.867 0.296 0.472
Al: 0.373 0.132 0.621
Al: 0.635 0.203 0.028
Al: 0.865 0.972 0.797
Al: 0.365 0.797 0.972
Al: 0.133 0.704 0.528
Al: 0.873 0.621 0.132
Al: 0.127 0.379 0.868
Li: 0.003 0.322 0.173
Li: 0.497 0.827 0.678
Li: 0.503 0.173 0.322
Li: 0.997 0.678 0.827

=====

First-principles (GGA-PBE) data for a geometry-optimized LiAl3Ni structure, as listed in Alexandria.

Values from the calculation:
Relative energy among the computed polymorphs   0 meV/atom

Lattice parameters (Å, degrees): 3.740 8.100 10.739 90.00 90.00 90.00
Atoms (fractional coordinates):
Al: 0.250 0.550 0.084
Al: 0.750 0.673 0.722
Al: 0.250 0.417 0.713
Al: 0.750 0.173 0.778
Al: 0.250 0.050 0.416
Al: 0.750 0.950 0.584
Al: 0.250 0.917 0.787
Al: 0.750 0.583 0.287
Al: 0.750 0.450 0.916
Al: 0.750 0.083 0.213
Al: 0.250 0.827 0.222
Al: 0.250 0.327 0.278
Ni: 0.750 0.362 0.135
Ni: 0.750 0.862 0.365
Ni: 0.250 0.638 0.865
Ni: 0.250 0.138 0.635
Li: 0.750 0.325 0.509
Li: 0.250 0.175 0.009
Li: 0.250 0.675 0.491
Li: 0.750 0.825 0.991

=====

First-principles (GGA-PBE) data for a geometry-optimized Li2AlNi structure, as listed in Alexandria.

Lattice parameters (Å, degrees): 3.455 3.455 9.816 79.87 79.87 90.00
Atoms (fractional coordinates):
Li: 0.375 0.362 0.750
Li: 0.638 0.125 0.250
Li: 0.875 0.888 0.750
Li: 0.112 0.625 0.250
Al: 0.500 0.500 0.000
Al: 0.250 0.750 0.500
Ni: 0.000 0.000 0.000
Ni: 0.750 0.250 0.500

=====

First-principles (GGA-PBE) data for a geometry-optimized Li2AlNi2 structure, as listed in Alexandria.

Values from the calculation:
Relative energy among the computed polymorphs   166 meV/atom

Lattice parameters (Å, degrees): 6.541 6.541 2.717 90.00 90.00 90.00
Atoms (fractional coordinates):
Ni: 0.810 0.310 0.500
Ni: 0.310 0.190 0.500
Ni: 0.190 0.690 0.500
Ni: 0.690 0.810 0.500
Al: 0.000 0.000 0.000
Al: 0.500 0.500 0.000
Li: 0.613 0.113 0.000
Li: 0.387 0.887 0.000
Li: 0.113 0.387 0.000
Li: 0.887 0.613 0.000

=====

First-principles (GGA-PBE) data for a geometry-optimized Li2AlNi structure, as listed in Alexandria.

Lattice parameters (Å, degrees): 5.017 5.017 5.017 139.20 139.20 59.07
Atoms (fractional coordinates):
Al: 0.750 0.250 0.500
Ni: 0.250 0.750 0.500
Li: 0.500 0.500 0.000
Li: 0.000 0.000 0.000

=====

First-principles (GGA-PBE) data for a geometry-optimized Li3Al3Ni2 structure, as listed in Alexandria.

Lattice parameters (Å, degrees): 2.697 6.909 6.909 120.00 90.00 90.00
Atoms (fractional coordinates):
Al: 0.500 0.419 0.419
Al: 0.500 0.000 0.581
Al: 0.500 0.581 0.000
Li: 0.000 0.228 0.000
Li: 0.000 0.000 0.228
Li: 0.000 0.772 0.772
Ni: 0.000 0.667 0.333
Ni: 0.000 0.333 0.667

=====

First-principles (GGA-PBE) data for a geometry-optimized LiAl3Ni6 structure, as listed in Alexandria.

Lattice parameters (Å, degrees): 4.120 6.808 8.857 110.92 90.00 90.00
Atoms (fractional coordinates):
Ni: 0.750 0.845 0.818
Ni: 0.750 0.334 0.314
Ni: 0.250 0.260 0.484
Ni: 0.750 0.146 0.716
Ni: 0.250 0.457 0.078
Ni: 0.750 0.941 0.129
Ni: 0.250 0.059 0.871
Ni: 0.750 0.740 0.516
Ni: 0.250 0.155 0.182
Ni: 0.250 0.666 0.686
Ni: 0.250 0.854 0.284
Ni: 0.750 0.543 0.922
Al: 0.250 0.548 0.384
Al: 0.750 0.645 0.219
Al: 0.750 0.222 0.013
Al: 0.250 0.778 0.987
Al: 0.750 0.452 0.616
Al: 0.250 0.355 0.781
Li: 0.250 0.956 0.580
Li: 0.750 0.044 0.420

=====

First-principles (GGA-PBE) data for a geometry-optimized Li3Al4Ni2 structure, as listed in Alexandria.

Lattice parameters (Å, degrees): 4.177 4.177 7.817 90.00 90.00 60.00
Atoms (fractional coordinates):
Al: 0.000 0.000 0.683
Al: 0.667 0.667 0.880
Al: 0.000 0.000 0.317
Al: 0.333 0.333 0.120
Li: 0.000 0.000 0.000
Li: 0.333 0.333 0.460
Li: 0.667 0.667 0.540
Ni: 0.333 0.333 0.792
Ni: 0.667 0.667 0.208

=====

First-principles (GGA-PBE) data for a geometry-optimized Li2AlNi2 structure, as listed in Alexandria.

Values from the calculation:
Relative energy among the computed polymorphs   116 meV/atom

Lattice parameters (Å, degrees): 5.955 5.955 3.976 90.00 90.00 90.00
Atoms (fractional coordinates):
Al: 0.500 0.500 0.000
Al: 0.000 0.000 0.000
Li: 0.833 0.333 0.500
Li: 0.167 0.667 0.500
Li: 0.333 0.167 0.500
Li: 0.667 0.833 0.500
Ni: 0.365 0.865 0.000
Ni: 0.135 0.365 0.000
Ni: 0.635 0.135 0.000
Ni: 0.865 0.635 0.000

=====

First-principles (GGA-PBE) data for a geometry-optimized LiAl3Ni4 structure, as listed in Alexandria.

Lattice parameters (Å, degrees): 2.902 2.902 11.280 90.00 90.00 90.00
Atoms (fractional coordinates):
Al: 0.500 0.500 0.500
Al: 0.500 0.500 0.245
Al: 0.500 0.500 0.755
Li: 0.500 0.500 0.000
Ni: 0.000 0.000 0.374
Ni: 0.000 0.000 0.125
Ni: 0.000 0.000 0.875
Ni: 0.000 0.000 0.626

=====

First-principles (GGA-PBE) data for a geometry-optimized LiAl3Ni2 structure, as listed in Alexandria.

Lattice parameters (Å, degrees): 2.793 6.595 6.595 120.00 90.00 90.00
Atoms (fractional coordinates):
Ni: 0.500 0.333 0.667
Ni: 0.500 0.667 0.333
Al: 0.000 0.000 0.500
Al: 0.000 0.500 0.000
Al: 0.000 0.500 0.500
Li: 0.000 0.000 0.000

=====

Number 1: energy of formation -0.50 eV per atom. Number 2: energy of formation -0.23 eV per atom. Number 3: energy of formation -0.28 eV per atom. Number 4: energy of formation -0.02 eV per atom. Number 5: energy of formation -0.06 eV per atom. Number 6: energy of formation -0.18 eV per atom. Number 7: energy of formation -0.37 eV per atom. Number 8: energy of formation -0.43 eV per atom. Number 9: energy of formation -0.41 eV per atom. Number 10: energy of formation -0.11 eV per atom. Number 11: energy of formation -0.50 eV per atom. Number 12: energy of formation -0.20 eV per atom.